! PBE ZrVGeN2, relaxed; values from VASP
! E ... -6.7149 eV per atom
! E_form (uncorrected) ... 1072 meV per atom
! Spin magnetization ... 3.0 μB/cell
! Space-group type ... P4/mmm, No. 123
! N(E_F) ... 3.4 states/eV per cell
&SYSTEM
  ibrav = 0, nat = 5, ntyp = 4
/
ATOMIC_SPECIES
Ge 72.64 Ge.upf
V 50.94 V.upf
N 14.01 N.upf
Zr 91.22 Zr.upf
ATOMIC_POSITIONS crystal
Ge 0.500 0.500 0.500
V 0.000 0.500 0.000
N 0.500 0.000 0.000
N 0.000 0.000 0.500
Zr 0.000 0.000 0.000
CELL_PARAMETERS angstrom
-2.220 -2.180 -2.582
1.234 -5.177 3.308
-3.284 0.663 2.263